MnTlBr2 (GGA-PBE, optimized geometry); uncorrected energy = -4.1106 eV per atom; space-group type = I-42d; energy relative to the lowest polymorph listed for this composition = 91 meV/atom
1.0
-6.876 -4.594 -2.376
1.229 -5.291 6.673
-4.723 -3.054 3.996
Br Tl Mn
4 2 2
Cartesian
-5.521 -6.594 5.361
-8.622 -10.342 6.003
-2.048 -5.163 4.604
-4.548 -3.778 0.616
0.000 0.000 0.000
-7.211 -6.295 1.884
-2.823 -4.942 2.148
-3.159 -6.643 6.408